[1]
Computed, not measured: a relaxed In2AgTe crystal at the GGA-PBE level of DFT.

- Fermi-level density of states: 0.38 states/eV/atom
- Uncorrected energy: -2.81 eV/atom
- Formation energy from raw total energies: 56.1 meV per atom
- Magnetic moment: 0.00 μB per atom
- Symmetry: P4mm

Cell: 3.567 3.567 8.186 Å, 90.00 90.00 90.00°
Element x y z (fractional)
In: 0.000 0.000 0.000
In: 0.500 0.500 0.289
Ag: 0.500 0.500 0.790
Te: 0.000 0.000 0.562

***

[2]
Computed, not measured: a relaxed In2AgTe crystal at the GGA-PBE level of DFT.

- Fermi-level density of states: 0.47 states/eV/atom
- Uncorrected energy: -2.80 eV/atom
- Formation energy from raw total energies: 63.4 meV per atom
- Magnetic moment: 0.00 μB per atom
- Symmetry: I-4m2

Cell: 5.712 5.712 5.712 Å, 130.25 130.25 73.01°
Element x y z (fractional)
In: 0.000 0.000 0.000
In: 0.750 0.250 0.500
Ag: 0.500 0.500 0.000
Te: 0.250 0.750 0.500

***

[3]
Computed, not measured: a relaxed In2AgTe crystal at the GGA-PBE level of DFT.

- Fermi-level density of states: 0.33 states/eV/atom
- Uncorrected energy: -2.79 eV/atom
- Formation energy from raw total energies: 73.0 meV per atom
- Magnetic moment: 0.00 μB per atom
- Symmetry: Cmm2

Cell: 3.212 3.212 10.420 Å, 90.00 90.00 104.31°
Element x y z (fractional)
In: 0.000 0.000 0.000
In: 0.500 0.500 0.262
Ag: 0.500 0.500 0.790
Te: 0.000 0.000 0.564

***

[4]
Computed, not measured: a relaxed ThIn2AgTe4 crystal at the GGA-PBE level of DFT.

- Fermi-level density of states: 0.31 states/eV/atom
- Uncorrected energy: -4.04 eV/atom
- Formation energy from raw total energies: -496.2 meV per atom
- Magnetic moment: 0.00 μB per atom
- Symmetry: P2/m

Cell: 7.616 4.442 8.177 Å, 90.00 108.89 90.00°
Element x y z (fractional)
Th: 0.000 0.000 0.000
In: 0.000 0.500 0.500
In: 0.500 0.000 0.500
Ag: 0.500 0.500 0.000
Te: 0.243 0.500 0.238
Te: 0.255 0.000 0.767
Te: 0.745 0.000 0.233
Te: 0.757 0.500 0.762

***

[5]
Computed, not measured: a relaxed ThInAgTe3 crystal at the GGA-PBE level of DFT.

- Uncorrected energy: -4.43 eV/atom
- Formation energy from raw total energies: -693.0 meV per atom
- Magnetic moment: 0.00 μB per atom
- Symmetry: P2_1/m

Cell: 9.537 4.485 10.113 Å, 90.00 106.20 90.00°
Element x y z (fractional)
Th: 0.182 0.250 0.170
Th: 0.818 0.750 0.830
In: 0.307 0.750 0.757
In: 0.693 0.250 0.243
Ag: 0.415 0.750 0.411
Ag: 0.585 0.250 0.589
Te: 0.056 0.250 0.839
Te: 0.264 0.250 0.487
Te: 0.394 0.750 0.124
Te: 0.606 0.250 0.876
Te: 0.736 0.750 0.513
Te: 0.944 0.750 0.161

***

[6]
Computed, not measured: a relaxed TiInAgTe3 crystal at the GGA-PBE level of DFT.

- Fermi-level density of states: 0.12 states/eV/atom
- Uncorrected energy: -4.22 eV/atom
- Formation energy from raw total energies: -399.5 meV per atom
- Magnetic moment: 0.00 μB per atom
- Symmetry: P2_1/m

Cell: 8.521 4.048 10.372 Å, 90.00 109.73 90.00°
Element x y z (fractional)
Ti: 0.205 0.250 0.173
Ti: 0.795 0.750 0.827
In: 0.241 0.750 0.727
In: 0.759 0.250 0.273
Ag: 0.427 0.750 0.396
Ag: 0.573 0.250 0.604
Te: 0.047 0.250 0.879
Te: 0.215 0.250 0.440
Te: 0.413 0.750 0.128
Te: 0.587 0.250 0.872
Te: 0.785 0.750 0.560
Te: 0.953 0.750 0.121

***

[7]
Computed, not measured: a relaxed TlInAgTe3 crystal at the GGA-PBE level of DFT.

- Fermi-level density of states: 0.33 states/eV/atom
- Uncorrected energy: -3.07 eV/atom
- Formation energy from raw total energies: -170.5 meV per atom
- Magnetic moment: 0.00 μB per atom
- Symmetry: P2_1/m

Cell: 8.405 4.316 11.138 Å, 90.00 103.42 90.00°
Element x y z (fractional)
Tl: 0.220 0.250 0.214
Tl: 0.780 0.750 0.786
In: 0.138 0.250 0.634
In: 0.862 0.750 0.366
Ag: 0.342 0.750 0.915
Ag: 0.658 0.250 0.085
Te: 0.099 0.250 0.880
Te: 0.225 0.750 0.494
Te: 0.493 0.750 0.182
Te: 0.507 0.250 0.818
Te: 0.775 0.250 0.506
Te: 0.901 0.750 0.120

***

[8]
Computed, not measured: a relaxed Tm2InAgTe4 crystal at the GGA-PBE level of DFT.

- Fermi-level density of states: 0.00 states/eV/atom
- Uncorrected energy: -4.27 eV/atom
- Formation energy from raw total energies: -883.7 meV per atom
- Magnetic moment: 0.00 μB per atom
- Symmetry: Cmcm

Cell: 7.689 7.689 15.582 Å, 90.00 90.00 146.96°
Element x y z (fractional)
Tm: 0.130 0.870 0.572
Tm: 0.130 0.870 0.928
Tm: 0.870 0.130 0.072
Tm: 0.870 0.130 0.428
In: 0.369 0.631 0.750
In: 0.631 0.369 0.250
Ag: 0.342 0.658 0.250
Ag: 0.658 0.342 0.750
Te: 0.041 0.959 0.750
Te: 0.230 0.770 0.105
Te: 0.230 0.770 0.395
Te: 0.500 0.500 0.000
Te: 0.500 0.500 0.500
Te: 0.770 0.230 0.605
Te: 0.770 0.230 0.895
Te: 0.959 0.041 0.250

***

[9]
Computed, not measured: a relaxed Tm3In4AgTe8 crystal at the GGA-PBE level of DFT.

- Fermi-level density of states: 0.24 states/eV/atom
- Uncorrected energy: -3.99 eV/atom
- Formation energy from raw total energies: -721.5 meV per atom
- Magnetic moment: 0.00 μB per atom
- Symmetry: R-3m

Cell: 9.164 9.164 9.164 Å, 57.22 57.22 57.22°
Element x y z (fractional)
Tm: 0.000 0.500 0.500
Tm: 0.500 0.000 0.500
Tm: 0.500 0.500 0.000
In: 0.000 0.000 0.500
In: 0.000 0.500 0.000
In: 0.500 0.000 0.000
In: 0.500 0.500 0.500
Ag: 0.000 0.000 0.000
Te: 0.246 0.246 0.737
Te: 0.246 0.737 0.246
Te: 0.259 0.259 0.259
Te: 0.263 0.754 0.754
Te: 0.737 0.246 0.246
Te: 0.741 0.741 0.741
Te: 0.754 0.263 0.754
Te: 0.754 0.754 0.263

***

[10]
Computed, not measured: a relaxed U3In4AgTe8 crystal at the GGA-PBE level of DFT.

- Fermi-level density of states: 1.11 states/eV/atom
- Uncorrected energy: -4.94 eV/atom
- Formation energy from raw total energies: -386.7 meV per atom
- Magnetic moment: 0.44 μB per atom
- Symmetry: R-3m

Cell: 9.631 9.631 9.631 Å, 53.38 53.38 53.38°
Element x y z (fractional)
U: 0.000 0.500 0.500
U: 0.500 0.000 0.500
U: 0.500 0.500 0.000
In: 0.000 0.000 0.500
In: 0.000 0.500 0.000
In: 0.500 0.000 0.000
In: 0.500 0.500 0.500
Ag: 0.000 0.000 0.000
Te: 0.242 0.242 0.736
Te: 0.242 0.736 0.242
Te: 0.259 0.259 0.259
Te: 0.264 0.758 0.758
Te: 0.736 0.242 0.242
Te: 0.741 0.741 0.741
Te: 0.758 0.264 0.758
Te: 0.758 0.758 0.264

***

[11]
Computed, not measured: a relaxed UInAgTe3 crystal at the GGA-PBE level of DFT.

- Fermi-level density of states: 0.94 states/eV/atom
- Uncorrected energy: -4.80 eV/atom
- Formation energy from raw total energies: -416.1 meV per atom
- Magnetic moment: 0.33 μB per atom
- Symmetry: Cmcm

Cell: 7.974 7.974 11.309 Å, 90.00 90.00 148.21°
Element x y z (fractional)
U: 0.000 0.000 0.000
U: 0.000 0.000 0.500
In: 0.238 0.762 0.750
In: 0.762 0.238 0.250
Ag: 0.465 0.535 0.250
Ag: 0.535 0.465 0.750
Te: 0.082 0.918 0.250
Te: 0.362 0.638 0.047
Te: 0.362 0.638 0.453
Te: 0.638 0.362 0.547
Te: 0.638 0.362 0.953
Te: 0.918 0.082 0.750

***

[12]
Computed, not measured: a relaxed ZrInAgTe3 crystal at the GGA-PBE level of DFT.

- Fermi-level density of states: 0.02 states/eV/atom
- Uncorrected energy: -4.44 eV/atom
- Formation energy from raw total energies: -514.4 meV per atom
- Magnetic moment: 0.00 μB per atom
- Symmetry: P2_1/m

Cell: 8.981 4.171 10.175 Å, 90.00 108.28 90.00°
Element x y z (fractional)
Zr: 0.195 0.250 0.173
Zr: 0.805 0.750 0.827
In: 0.274 0.750 0.744
In: 0.726 0.250 0.256
Ag: 0.420 0.750 0.400
Ag: 0.580 0.250 0.600
Te: 0.050 0.250 0.862
Te: 0.236 0.250 0.464
Te: 0.403 0.750 0.122
Te: 0.597 0.250 0.878
Te: 0.764 0.750 0.536
Te: 0.950 0.750 0.138

***

Number 7 is which compound?
TlInAgTe3